(1)
Entry from OQMD via LeMat-Bulk: a relaxed HfZr2Zn3Ni2Au crystal (PBE).

Cell and atoms, written as extended XYZ:
```
9
Lattice="3.4429 0.0000 0.0000 0.0000 6.1274 3.5450 0.0000 -6.1274 3.5450" Properties=species:S:1:pos:R:3 pbc="T T T"
Au 0.0000 0.0000 7.0818
Hf 0.0000 0.0000 4.1960
Ni 1.7214 2.0315 3.5486
Ni 1.7214 -2.0315 3.5486
Zn 1.7214 0.0000 1.9854
Zn 1.7214 1.7092 6.0976
Zn 1.7214 -1.7092 6.0976
Zr 0.0000 2.5013 1.4471
Zr 0.0000 -2.5013 1.4471
```

Calculated values
The value obtained for the formation enthalpy at 0 K is -42.31 kJ per mole of atoms.



(2)
Entry from OQMD via LeMat-Bulk: a relaxed ThZr2 crystal (PBE).

Cell and atoms, written as extended XYZ:
```
12
Lattice="5.7035 0.0000 0.0000 0.0000 10.0378 0.0000 0.0000 0.0000 5.4884" Properties=species:S:1:pos:R:3 pbc="T T T"
Th 0.0374 6.7298 0.0000
Th 0.0374 9.9998 0.0000
Th 4.7154 1.7109 2.7442
Th 4.7154 4.9809 2.7442
Zr 2.7666 1.7505 0.0000
Zr 0.0293 3.3459 0.0000
Zr 2.7666 4.9413 0.0000
Zr 2.9545 8.3648 0.0000
Zr 1.7984 3.3459 2.7442
Zr 1.9862 6.7694 2.7442
Zr 4.7236 8.3648 2.7442
Zr 1.9862 9.9602 2.7442
```

Calculated values
The value obtained for the formation enthalpy at 0 K is 9.27 kJ per mole of atoms.



(3)
Entry from OQMD via LeMat-Bulk: a relaxed YEr2In3Pt2Au crystal (PBE).

Cell and atoms, written as extended XYZ:
```
9
Lattice="-2.4853 2.8019 -0.5288 -2.2430 -3.2538 -6.6987 -3.5572 -1.9002 6.6503" Properties=species:S:1:pos:R:3 pbc="T T T"
Au -0.0059 -0.0053 0.0000
Er -3.6922 -4.0277 -3.9880
Er -4.4707 -3.2259 3.9199
In -2.8818 -0.9763 -5.1567
In -2.8073 0.0106 -0.2775
In -3.8416 0.0122 4.5926
Pt -3.9158 -1.3990 -2.5366
Pt -4.3584 -0.9431 1.9595
Y -3.4405 -3.0572 -0.0287
```

Calculated values
The calculation puts the total energy at -5.268 eV per atom.



(4)
Entry from OQMD via LeMat-Bulk: a relaxed NdTmNO crystal (PBE).

Cell and atoms, written as extended XYZ:
```
8
Lattice="-1.7972 -3.3243 2.2671 0.4321 -2.6281 -3.5110 7.5548 -2.2841 2.6395" Properties=species:S:1:pos:R:3 pbc="T T T"
N 3.5349 -2.3175 -0.5960
N 3.3373 -2.9429 2.6136
Nd -0.0739 -1.9115 1.4217
Nd 6.9461 -3.3488 0.5959
O 0.0000 0.0000 0.0000
O -0.6825 -2.9762 -0.6219
Tm 3.7774 -1.1421 1.3198
Tm 3.0949 -4.1183 0.6978
```

Calculated values
The relative energy among the computed polymorphs is 350 meV/atom.